A relaxed AcTlHgGe crystal, computed with PBE-GGA.

Summary:
**Space group**: F-43m
**Formation enthalpy at 0 K**: -0.287 eV per atom
**Density of states at the Fermi level**: 0.727 states/eV per atom
**Calculated volume**: 115 Å³/cell

a b c (Å): 5.452 5.452 5.452
angles (deg): 60.00 60.00 60.00
Fractional coordinates of all 4 atoms:
Ac  0.500  0.500  0.500
Ge  0.250  0.250  0.250
Tl  0.000  0.000  0.000
Hg  0.750  0.750  0.750